# 1
Material: ErCdBi2
Method: DFT, PBE
State: relaxed

Cell and atoms, written as POSCAR:
```
ErCdBi2
1.0
2.264 1.307 7.031
-2.264 1.307 7.031
0.000 -2.614 7.031
Er Cd Bi
1 1 2
Direct
0.000 0.000 0.000 Er
0.500 0.500 0.500 Cd
0.249 0.249 0.249 Bi
0.751 0.751 0.751 Bi
```

Calculated values
For the spin magnetization, the calculation gives 0.000 μB/f.u. The calculation puts the formation energy at -0.19 eV per atom. As for the total energy: -14.0 eV per formula unit. The space-group type is R-3m.



# 2
Material: ErCdBi2
Method: DFT, PBE
State: relaxed

Cell and atoms, written as POSCAR:
```
ErCdBi2
1.0
2.316 1.337 6.824
-2.316 1.337 6.824
0.000 -2.674 6.824
Er Cd Bi
1 1 2
Direct
0.000 0.000 0.000 Er
0.168 0.168 0.168 Cd
0.414 0.414 0.414 Bi
0.586 0.586 0.586 Bi
```

Calculated values
For the spin magnetization, the calculation gives 0.000 μB/f.u. The calculation puts the formation energy at -0.22 eV per atom. As for the total energy: -14.1 eV per formula unit. The space-group type is R3m.



# 3
Material: Er3CdBi
Method: DFT, PBE
State: relaxed

Cell and atoms, written as POSCAR:
```
Er3CdBi
1.0
2.517 -11.015 0.000
2.517 11.015 0.000
0.000 0.000 5.037
Er Cd Bi
6 2 2
Direct
0.053 0.947 0.750 Er
0.249 0.751 0.750 Er
0.444 0.556 0.750 Er
0.556 0.444 0.250 Er
0.751 0.249 0.250 Er
0.947 0.053 0.250 Er
0.152 0.848 0.250 Cd
0.848 0.152 0.750 Cd
0.345 0.655 0.250 Bi
0.655 0.345 0.750 Bi
```

Calculated values
For the spin magnetization, the calculation gives 0.000 μB/f.u. The calculation puts the formation energy at -0.36 eV per atom. As for the total energy: -20.3 eV per formula unit. The space-group type is Cmcm.



# 4
Material: ErCdBi
Method: DFT, PBE
State: relaxed

Cell and atoms, written as POSCAR:
```
ErCdBi
1.0
4.760 0.000 0.000
-2.380 4.122 0.000
0.000 0.000 4.338
Er Cd Bi
1 1 1
Direct
0.000 0.000 0.000 Er
0.333 0.667 0.305 Cd
0.667 0.333 0.605 Bi
```

Calculated values
The calculation puts the excess energy over the best structure of this formula in the dataset at 0.000 eV/atom. For the spin magnetization, the calculation gives 0.000 μB/f.u. The calculation puts the formation energy at -0.27 eV per atom. As for the total energy: -10.2 eV per formula unit. The space-group type is P3m1.



# 5
Material: Er6CdBi3
Method: DFT, PBE
State: relaxed

Cell and atoms, written as POSCAR:
```
Er6CdBi3
1.0
5.960 -5.771 0.000
5.960 5.771 0.000
0.000 0.000 8.394
Er Cd Bi
12 2 6
Direct
0.006 0.501 0.750 Er
0.163 0.837 0.504 Er
0.163 0.837 0.996 Er
0.340 0.340 0.000 Er
0.340 0.340 0.500 Er
0.499 0.994 0.750 Er
0.501 0.006 0.250 Er
0.660 0.660 0.000 Er
0.660 0.660 0.500 Er
0.837 0.163 0.004 Er
0.837 0.163 0.496 Er
0.994 0.499 0.250 Er
0.357 0.643 0.750 Cd
0.643 0.357 0.250 Cd
0.144 0.145 0.250 Bi
0.145 0.144 0.750 Bi
0.363 0.637 0.250 Bi
0.637 0.363 0.750 Bi
0.855 0.856 0.250 Bi
0.856 0.855 0.750 Bi
```

Calculated values
For the spin magnetization, the calculation gives 0.001 μB/f.u. The calculation puts the formation energy at -0.51 eV per atom. As for the total energy: -45.1 eV per formula unit. The space-group type is Cmcm.



# 6
Material: ErCd4Bi
Method: DFT, PBE
State: relaxed

Cell and atoms, written as POSCAR:
```
ErCd4Bi
1.0
0.000 4.220 4.220
4.220 0.000 4.220
4.220 4.220 0.000
Er Cd Bi
1 4 1
Direct
0.000 0.000 0.000 Er
0.124 0.625 0.625 Cd
0.625 0.124 0.625 Cd
0.625 0.625 0.124 Cd
0.625 0.625 0.625 Cd
0.250 0.250 0.250 Bi
```

Calculated values
For the spin magnetization, the calculation gives 0.000 μB/f.u. The calculation puts the formation energy at -0.07 eV per atom. As for the total energy: -12.5 eV per formula unit. The space-group type is F-43m.



# 7
Material: Er5CdBi2
Method: DFT, PBE
State: relaxed

Cell and atoms, written as POSCAR:
```
Er5CdBi2
1.0
2.751 -5.794 0.000
2.751 5.794 0.000
0.000 0.000 15.071
Er Cd Bi
10 2 4
Direct
0.067 0.933 0.750 Er
0.119 0.881 0.052 Er
0.119 0.881 0.448 Er
0.429 0.571 0.096 Er
0.429 0.571 0.404 Er
0.571 0.429 0.596 Er
0.571 0.429 0.904 Er
0.881 0.119 0.552 Er
0.881 0.119 0.948 Er
0.933 0.067 0.250 Er
0.226 0.774 0.250 Cd
0.774 0.226 0.750 Cd
0.286 0.714 0.619 Bi
0.286 0.714 0.881 Bi
0.714 0.286 0.119 Bi
0.714 0.286 0.381 Bi
```

Calculated values
For the spin magnetization, the calculation gives 0.000 μB/f.u. The calculation puts the formation energy at -0.23 eV per atom. As for the total energy: -33.3 eV per formula unit. The space-group type is Cmcm.



# 8
Material: HoErCdBi
Method: DFT, PBE
State: relaxed

Cell and atoms, written as POSCAR:
```
HoErCdBi
1.0
0.000 3.800 3.800
3.800 0.000 3.800
3.800 3.800 0.000
Ho Er Cd Bi
1 1 1 1
Direct
0.000 0.000 0.000 Ho
0.500 0.500 0.500 Er
0.750 0.750 0.750 Cd
0.250 0.250 0.250 Bi
```

Calculated values
For the spin magnetization, the calculation gives 0.000 μB/f.u. The calculation puts the formation energy at -0.38 eV per atom. As for the total energy: -15.5 eV per formula unit. The space-group type is F-43m.



Repeat the second record exactly.
Material: ErCdBi2
Method: DFT, PBE
State: relaxed

Cell and atoms, written as POSCAR:
```
ErCdBi2
1.0
2.316 1.337 6.824
-2.316 1.337 6.824
0.000 -2.674 6.824
Er Cd Bi
1 1 2
Direct
0.000 0.000 0.000 Er
0.168 0.168 0.168 Cd
0.414 0.414 0.414 Bi
0.586 0.586 0.586 Bi
```

Calculated values
For the spin magnetization, the calculation gives 0.000 μB/f.u. The calculation puts the formation energy at -0.22 eV per atom. As for the total energy: -14.1 eV per formula unit. The space-group type is R3m.